A) 4
Lattice="5.069 0.000 0.000 0.000 5.069 0.000 0.000 0.000 4.938" Properties=species:S:1:pos:R:3 comment="AcPm2Sb (GGA-PBE, optimized geometry)" spacegroup="P4/mmm (123)" vol_a3_per_atom=31.72 pbc="T T T"
Ac 0.000 0.000 0.000
Pm 0.000 2.535 2.469
Pm 2.535 0.000 2.469
Sb 2.535 2.535 0.000

---

B) 4
Lattice="0.000 3.981 3.981 3.981 0.000 3.981 3.981 3.981 0.000" Properties=species:S:1:pos:R:3 comment="AcPm2Sb (GGA-PBE, optimized geometry)" spacegroup="Fm-3m (225)" vol_a3_per_atom=31.54 pbc="T T T"
Ac 0.000 0.000 0.000
Pm 1.990 1.990 1.990
Pm 5.971 5.971 5.971
Sb 3.981 3.981 3.981

---

The winner here is A), beating the second structure by 202 meV/atom.

---

A) 4
Lattice="2.032 1.173 11.302 -2.032 1.173 11.302 0.000 -2.347 11.302" Properties=species:S:1:pos:R:3 comment="AcPm2Sb (GGA-PBE, optimized geometry)" spacegroup="R-3m (166)" vol_a3_per_atom=40.43 pbc="T T T"
Ac 0.000 0.000 0.000
Pm 0.000 0.000 3.704
Pm 0.000 0.000 30.202
Sb 0.000 0.000 16.953

---

B) 4
Lattice="4.091 0.000 0.000 0.000 4.091 0.000 0.000 0.000 7.856" Properties=species:S:1:pos:R:3 comment="AcPm2Sb (GGA-PBE, optimized geometry)" spacegroup="P4/mmm (123)" vol_a3_per_atom=32.87 pbc="T T T"
Ac 0.000 0.000 0.000
Pm 2.046 2.046 2.320
Pm 2.046 2.046 5.537
Sb 0.000 0.000 3.928

---

C) 4
Lattice="2.091 1.207 9.930 -2.091 1.207 9.930 0.000 -2.415 9.930" Properties=species:S:1:pos:R:3 comment="AcPm2Sb (GGA-PBE, optimized geometry)" spacegroup="R3m (160)" vol_a3_per_atom=37.60 pbc="T T T"
Ac 0.000 0.000 0.000
Pm 0.000 0.000 6.897
Pm 0.000 0.000 12.990
Sb 0.000 0.000 24.847

---

The winner here is B), beating the second structure by 82 meV/atom.

---

A) 28
Lattice="9.611 0.000 0.000 0.000 9.611 0.000 0.000 0.000 9.611" Properties=species:S:1:pos:R:3 comment="AcPm3Sb3 (GGA-PBE, optimized geometry)" spacegroup="P2_13 (198)" vol_a3_per_atom=31.70 pbc="T T T"
Ac 0.670 4.136 5.475
Ac 4.136 5.475 0.670
Ac 5.475 0.670 4.136
Ac 8.941 8.941 8.941
Pm 0.714 5.520 8.896
Pm 1.727 7.884 3.078
Pm 1.753 1.753 1.753
Pm 3.053 7.858 6.558
Pm 3.078 1.727 7.884
Pm 4.091 4.091 4.091
Pm 5.520 8.896 0.714
Pm 6.532 6.532 6.532
Pm 6.558 3.053 7.858
Pm 7.858 6.558 3.053
Pm 7.884 3.078 1.727
Pm 8.896 0.714 5.520
Sb 0.022 2.485 8.483
Sb 1.128 4.827 2.321
Sb 2.321 1.128 4.827
Sb 2.485 8.483 0.022
Sb 3.677 4.784 7.126
Sb 4.784 7.126 3.677
Sb 4.827 2.321 1.128
Sb 5.933 9.589 7.290
Sb 7.126 3.677 4.784
Sb 7.290 5.933 9.589
Sb 8.483 0.022 2.485
Sb 9.589 7.290 5.933

---

B) 14
Lattice="9.436 0.000 0.000 -4.718 8.172 0.000 0.000 0.000 5.869" Properties=species:S:1:pos:R:3 comment="AcPm3Sb3 (GGA-PBE, optimized geometry)" spacegroup="P6_3/m (176)" vol_a3_per_atom=32.33 pbc="T T T"
Ac 0.000 5.448 1.467
Ac 4.718 2.724 4.402
Pm -3.477 6.201 1.467
Pm 1.086 2.060 1.467
Pm 2.327 0.089 4.402
Pm 2.391 8.083 1.467
Pm 3.632 6.112 4.402
Pm 8.195 1.971 4.402
Sb -2.462 5.204 4.402
Sb 1.443 3.438 4.402
Sb 3.699 0.470 1.467
Sb 1.019 7.702 4.402
Sb 3.275 4.734 1.467
Sb 7.180 2.969 1.467

---

The winner here is A), beating the second structure by 201 meV/atom.